Entry 1:
# Ta2HF

A relaxed structure of Ta2HF (PBEsol, the Alexandria database).

Results
DOS at the Fermi energy ... 2.270 states/eV/f.u.
Symmetry ... I-42d
Calculated density ... 12.87 Mg/m³
Total energy ... -63.7 eV/cell
Crystal system ... tetragonal

a = 5.677 Å, b = 5.677 Å, c = 5.677 Å
α = 132.16°, β = 132.16°, γ = 69.98°
Sites, in units of the cell vectors:
Ta 0.068 0.625 0.943
Ta 0.375 0.318 0.443
Ta 0.682 0.125 0.057
Ta 0.875 0.932 0.557
H 0.000 0.000 0.000
H 0.750 0.250 0.500
F 0.250 0.750 0.500
F 0.500 0.500 0.000

***

Entry 2:
# Ba3La2Cl12

A relaxed structure of Ba3La2Cl12 (PBEsol, the Alexandria database).

Results
DOS at the Fermi energy ... 0.000 states/eV/f.u.
Symmetry ... C2/c
Calculated density ... 3.46 Mg/m³
Crystal system ... monoclinic
Raw formation energy ... -2.436 eV per atom

a = 8.739 Å, b = 8.739 Å, c = 15.739 Å
α = 100.57°, β = 100.57°, γ = 109.80°
Sites, in units of the cell vectors:
Ba 0.125 0.875 0.750
Ba 0.209 0.459 0.918
Ba 0.459 0.209 0.418
Ba 0.541 0.791 0.582
Ba 0.791 0.541 0.082
Ba 0.875 0.125 0.250
La 0.045 0.295 0.589
La 0.295 0.045 0.089
La 0.705 0.955 0.911
La 0.955 0.705 0.411
Cl 0.014 0.497 0.742
Cl 0.070 0.079 0.424
Cl 0.079 0.070 0.924
Cl 0.146 0.654 0.576
Cl 0.163 0.696 0.076
Cl 0.227 0.244 0.742
Cl 0.244 0.227 0.242
Cl 0.304 0.837 0.424
Cl 0.346 0.854 0.924
Cl 0.381 0.413 0.577
Cl 0.413 0.381 0.077
Cl 0.497 0.014 0.242
Cl 0.503 0.986 0.758
Cl 0.587 0.619 0.923
Cl 0.619 0.587 0.423
Cl 0.654 0.146 0.076
Cl 0.696 0.163 0.576
Cl 0.756 0.773 0.758
Cl 0.773 0.756 0.258
Cl 0.837 0.304 0.924
Cl 0.854 0.346 0.424
Cl 0.921 0.930 0.076
Cl 0.930 0.921 0.576
Cl 0.986 0.503 0.258

***

Entry 3:
# TaHg2Te

A relaxed structure of TaHg2Te (PBEsol, the Alexandria database).

Results
DOS at the Fermi energy ... 2.344 states/eV/f.u.
Symmetry ... R3m
Calculated density ... 13.09 Mg/m³
Crystal system ... trigonal
Raw formation energy ... 0.078 eV per atom

a = 9.321 Å, b = 9.321 Å, c = 9.321 Å
α = 20.88°, β = 20.88°, γ = 20.88°
Sites, in units of the cell vectors:
Ta 0.000 0.000 0.000
Hg 0.253 0.253 0.253
Hg 0.502 0.502 0.502
Te 0.736 0.736 0.736

***

Entry 4:
# InPSe2

A relaxed structure of InPSe2 (PBEsol, the Alexandria database).

Results
DOS at the Fermi energy ... 3.595 states/eV/f.u.
Symmetry ... Cmm2
Calculated density ... 5.36 Mg/m³
Crystal system ... orthorhombic
Raw formation energy ... 0.231 eV per atom

a = 3.703 Å, b = 3.703 Å, c = 8.222 Å
α = 90.00°, β = 90.00°, γ = 123.47°
Sites, in units of the cell vectors:
In 0.000 0.000 0.000
P 0.500 0.500 0.261
Se 0.000 0.000 0.451
Se 0.500 0.500 0.768

***

Entry 5:
# NaSn3

A relaxed structure of NaSn3 (PBEsol, the Alexandria database).

Results
DOS at the Fermi energy ... 1.763 states/eV/f.u.
Symmetry ... I4/mmm
ΔH_f (0 K) ... -111 meV/atom
Calculated density ... 6.19 Mg/m³
Crystal system ... tetragonal

a = 5.795 Å, b = 5.795 Å, c = 5.795 Å
α = 133.17°, β = 133.17°, γ = 68.39°
Sites, in units of the cell vectors:
Na 0.000 0.000 0.000
Sn 0.250 0.750 0.500
Sn 0.500 0.500 0.000
Sn 0.750 0.250 0.500

***

Entry 6:
# InTeSe2

A relaxed structure of InTeSe2 (PBEsol, the Alexandria database).

Results
DOS at the Fermi energy ... 2.425 states/eV/f.u.
Symmetry ... I-42d
Calculated density ... 6.38 Mg/m³
Crystal system ... tetragonal
Raw formation energy ... -0.038 eV per atom

a = 6.470 Å, b = 6.470 Å, c = 6.470 Å
α = 108.53°, β = 108.53°, γ = 111.37°
Sites, in units of the cell vectors:
In 0.000 0.000 0.000
In 0.750 0.250 0.500
Te 0.250 0.750 0.500
Te 0.500 0.500 0.000
Se 0.114 0.125 0.489
Se 0.375 0.886 0.011
Se 0.636 0.625 0.511
Se 0.875 0.364 0.989

***

Entry 7:
# LiLaRu2

A relaxed structure of LiLaRu2 (PBEsol, the Alexandria database).

Results
DOS at the Fermi energy ... 3.252 states/eV/f.u.
Symmetry ... Cmmm
ΔH_f (0 K) ... 470 meV/atom
Calculated density ... 8.37 Mg/m³
Crystal system ... orthorhombic

a = 5.011 Å, b = 5.011 Å, c = 3.096 Å
α = 90.00°, β = 90.00°, γ = 117.43°
Sites, in units of the cell vectors:
Li 0.000 0.000 0.000
La 0.500 0.500 0.000
Ru 0.000 0.500 0.500
Ru 0.500 0.000 0.500

***

Entry 8:
# CdFeOF2

A relaxed structure of CdFeOF2 (PBEsol, the Alexandria database).

Results
DOS at the Fermi energy ... 3.716 states/eV/f.u.
Symmetry ... P4/mmm
Calculated density ... 6.05 Mg/m³
Crystal system ... tetragonal
Raw formation energy ... -1.338 eV per atom

a = 4.031 Å, b = 4.031 Å, c = 3.757 Å
α = 90.00°, β = 90.00°, γ = 90.00°
Sites, in units of the cell vectors:
Cd 0.000 0.000 0.000
Fe 0.500 0.500 0.500
O 0.500 0.500 0.000
F 0.000 0.500 0.500
F 0.500 0.000 0.500